This record from the Alexandria database describes a relaxed structure of CdMoCl2. The functional is PBE.

Computed properties:
Raw formation energy, eV per atom: 0.385
Raw total energy, eV per atom: -3.475
Polymorph energy (0 for the lowest one), kJ per mole of atoms: 62.3
DOS at the Fermi energy, states/eV/f.u.: 1.3
Space group: I-4m2, No. 119

Unit cell a=6.2527 b=6.2527 c=6.2527 alpha=142.54 beta=142.54 gamma=54.02
With the nearest neighbours (Å) after each atom.
Element x y z (fractional)
Cl: 0.2500 0.7500 0.5000  4 Cd 2.84
Cl: 0.0000 0.0000 0.0000  4 Mo 2.84
Mo: 0.5000 0.5000 0.0000  4 Cl 2.84
Cd: 0.7500 0.2500 0.5000  4 Cl 2.84